OsCl3 | SCAN | single point on PBEsol structure

Geometry as POSCAR:
```
OsCl3
1.0
-0.5274 2.3411 1.7843
-2.8391 0.0740 -0.9363
-2.1041 -5.0338 5.9826
Cl Os
3 1
Direct
0.0000 0.0000 0.3214 Cl
0.5000 0.5000 0.0000 Cl
0.0000 0.0000 0.6786 Cl
0.5000 0.5000 0.5000 Os
```

Output
Size of the total moment   0.11 μB/atom
Symmetry   No. 123
Formation energy (no corrections)   0.83 eV/atom